Record 1
# Ac6Ir2PdN

A relaxed structure of Ac6Ir2PdN (PBE, Alexandria via LeMat-Bulk).

Structure (CIF):
```
data_Ac6Ir2PdN
_space_group_name_H-M_alt 'R 3'
_space_group_IT_number 146
_space_group_name_Hall 'R 3'
_cell_length_a 7.3422
_cell_length_b 7.3422
_cell_length_c 20.6389
_cell_angle_alpha 90.00
_cell_angle_beta 90.00
_cell_angle_gamma 120.00
loop_
_atom_site_label
_atom_site_type_symbol
_atom_site_fract_x
_atom_site_fract_y
_atom_site_fract_z
Ac1 Ac 0.0254 0.3505 0.0000
Ac2 Ac 0.0336 0.6712 0.1592
Ir1 Ir 0.0000 0.0000 0.0813
Ir2 Ir 0.0000 0.0000 0.5907
Pd1 Pd 0.0000 0.0000 0.9069
N1 N 0.0000 0.0000 0.4037
```

Calculated values
Formation energy without anion corrections = -0.638 eV per atom
Final energy = -62.3 eV per formula unit
Crystal system = trigonal



Record 2
# Ac6IrPd2N

A relaxed structure of Ac6IrPd2N (PBE, Alexandria via LeMat-Bulk).

Structure (CIF):
```
data_Ac6IrPd2N
_space_group_name_H-M_alt 'R 3'
_space_group_IT_number 146
_space_group_name_Hall 'R 3'
_cell_length_a 7.4678
_cell_length_b 7.4678
_cell_length_c 20.2550
_cell_angle_alpha 90.00
_cell_angle_beta 90.00
_cell_angle_gamma 120.00
loop_
_atom_site_label
_atom_site_type_symbol
_atom_site_fract_x
_atom_site_fract_y
_atom_site_fract_z
Ac1 Ac 0.0132 0.3793 0.0000
Ac2 Ac 0.0444 0.6941 0.8380
Ir1 Ir 0.0000 0.0000 0.7571
Pd1 Pd 0.0000 0.0000 0.0646
Pd2 Pd 0.0000 0.0000 0.5722
N1 N 0.0000 0.0000 0.2638
```

Calculated values
Formation energy without anion corrections = -0.630 eV per atom
Final energy = -58.5 eV per formula unit
Crystal system = trigonal



Record 3
# AcPr2IrN4

A relaxed structure of AcPr2IrN4 (PBE, Alexandria via LeMat-Bulk).

Structure (CIF):
```
data_AcPr2IrN4
_space_group_name_H-M_alt 'C m c m'
_space_group_IT_number 63
_space_group_name_Hall '-C 2c 2'
_cell_length_a 3.5849
_cell_length_b 12.3992
_cell_length_c 12.1713
_cell_angle_alpha 90.00
_cell_angle_beta 90.00
_cell_angle_gamma 90.00
loop_
_atom_site_label
_atom_site_type_symbol
_atom_site_fract_x
_atom_site_fract_y
_atom_site_fract_z
Ac1 Ac 0.0000 0.1057 0.2500
Pr1 Pr 0.0000 0.3689 0.0449
Ir1 Ir 0.0000 0.1561 0.7500
N1 N 0.0000 0.0000 0.0000
N2 N 0.0000 0.2733 0.6321
N3 N 0.0000 0.4341 0.2500
```

Calculated values
Formation energy without anion corrections = -0.727 eV per atom
Final energy = -61.6 eV per formula unit
Crystal system = orthorhombic



Record 4
# Ac6Ir2PtN

A relaxed structure of Ac6Ir2PtN (PBE, Alexandria via LeMat-Bulk).

Structure (CIF):
```
data_Ac6Ir2PtN
_space_group_name_H-M_alt 'R 3'
_space_group_IT_number 146
_space_group_name_Hall 'R 3'
_cell_length_a 7.3500
_cell_length_b 7.3500
_cell_length_c 20.5983
_cell_angle_alpha 90.00
_cell_angle_beta 90.00
_cell_angle_gamma 120.00
loop_
_atom_site_label
_atom_site_type_symbol
_atom_site_fract_x
_atom_site_fract_y
_atom_site_fract_z
Ac1 Ac 0.9999 0.6990 0.0000
Ac2 Ac 0.0123 0.3601 0.8268
Ir1 Ir 0.0000 0.0000 0.4083
Ir2 Ir 0.0000 0.0000 0.9008
Pt1 Pt 0.0000 0.0000 0.5875
N1 N 0.0000 0.0000 0.0890
```

Calculated values
Formation energy without anion corrections = -0.715 eV per atom
Final energy = -63.9 eV per formula unit
Crystal system = trigonal



Record 5
# Ac5Ir2PtN

A relaxed structure of Ac5Ir2PtN (PBE, Alexandria via LeMat-Bulk).

Structure (CIF):
```
data_Ac5Ir2PtN
_space_group_name_H-M_alt 'C m c 21'
_space_group_IT_number 36
_space_group_name_Hall 'C 2c -2'
_cell_length_a 4.3868
_cell_length_b 18.6372
_cell_length_c 12.5699
_cell_angle_alpha 90.00
_cell_angle_beta 90.00
_cell_angle_gamma 90.00
loop_
_atom_site_label
_atom_site_type_symbol
_atom_site_fract_x
_atom_site_fract_y
_atom_site_fract_z
Ac1 Ac 0.0000 0.0099 0.0000
Ac2 Ac 0.0000 0.2860 0.6995
Ac3 Ac 0.0000 0.3394 0.3708
Ac4 Ac 0.0000 0.3422 0.0127
Ac5 Ac 0.0000 0.4819 0.7513
Ir1 Ir 0.0000 0.1178 0.6848
Ir2 Ir 0.0000 0.1309 0.3285
Pt1 Pt 0.0000 0.1782 0.0437
N1 N 0.0000 0.4684 0.4232
```

Calculated values
Formation energy without anion corrections = -0.756 eV per atom
Final energy = -59.4 eV per formula unit
Crystal system = orthorhombic



Record 6
# Ac6IrRh2N

A relaxed structure of Ac6IrRh2N (PBE, Alexandria via LeMat-Bulk).

Structure (CIF):
```
data_Ac6IrRh2N
_space_group_name_H-M_alt 'P 1'
_space_group_IT_number 1
_space_group_name_Hall 'P 1'
_cell_length_a 7.3157
_cell_length_b 7.3168
_cell_length_c 7.9789
_cell_angle_alpha 117.26
_cell_angle_beta 90.06
_cell_angle_gamma 119.90
loop_
_atom_site_label
_atom_site_type_symbol
_atom_site_fract_x
_atom_site_fract_y
_atom_site_fract_z
Ac1 Ac 0.0000 0.0000 0.0000
Ac2 Ac 0.1287 0.9863 0.5127
Ac3 Ac 0.3192 0.7093 0.9983
Ac4 Ac 0.4676 0.7031 0.5125
Ac5 Ac 0.6107 0.3206 0.0004
Ac6 Ac 0.8450 0.3640 0.5127
Ir1 Ir 0.7235 0.8369 0.2406
Rh1 Rh 0.4084 0.2084 0.2987
Rh2 Rh 0.9003 0.1905 0.7718
N1 N 0.2166 0.8215 0.7219
```

Calculated values
Formation energy without anion corrections = -0.625 eV per atom
Final energy = -62.8 eV per formula unit
Crystal system = triclinic



Record 7
# Ac6Ir2RhN

A relaxed structure of Ac6Ir2RhN (PBE, Alexandria via LeMat-Bulk).

Structure (CIF):
```
data_Ac6Ir2RhN
_space_group_name_H-M_alt 'P 1'
_space_group_IT_number 1
_space_group_name_Hall 'P 1'
_cell_length_a 7.3230
_cell_length_b 7.3275
_cell_length_c 8.0009
_cell_angle_alpha 62.78
_cell_angle_beta 62.82
_cell_angle_gamma 60.04
loop_
_atom_site_label
_atom_site_type_symbol
_atom_site_fract_x
_atom_site_fract_y
_atom_site_fract_z
Ac1 Ac 0.0000 0.0000 0.0000
Ac2 Ac 0.1270 0.5286 0.4856
Ac3 Ac 0.3138 0.2929 0.0005
Ac4 Ac 0.4654 0.8133 0.4857
Ac5 Ac 0.6078 0.6860 0.9988
Ac6 Ac 0.8416 0.1523 0.4856
Ir1 Ir 0.4061 0.0930 0.7009
Ir2 Ir 0.8975 0.5842 0.2272
Rh1 Rh 0.7194 0.4058 0.7622
N1 N 0.2130 0.9019 0.2776
```

Calculated values
Formation energy without anion corrections = -0.617 eV per atom
Final energy = -64.2 eV per formula unit
Crystal system = triclinic



Record 8
# Ac8Ir3S3N

A relaxed structure of Ac8Ir3S3N (PBE, Alexandria via LeMat-Bulk).

Structure (CIF):
```
data_Ac8Ir3S3N
_space_group_name_H-M_alt 'R -3 m'
_space_group_IT_number 166
_space_group_name_Hall '-R 3 2"'
_cell_length_a 8.5475
_cell_length_b 8.5475
_cell_length_c 21.9403
_cell_angle_alpha 90.00
_cell_angle_beta 90.00
_cell_angle_gamma 120.00
loop_
_atom_site_label
_atom_site_type_symbol
_atom_site_fract_x
_atom_site_fract_y
_atom_site_fract_z
Ac1 Ac 0.0000 0.0000 0.2450
Ac2 Ac 0.0167 0.5084 0.2391
Ir1 Ir 0.0000 0.5000 0.5000
S1 S 0.0000 0.5000 0.0000
N1 N 0.0000 0.0000 0.5000
```

Calculated values
Formation energy without anion corrections = -1.142 eV per atom
Final energy = -97.3 eV per formula unit
Crystal system = trigonal



Record 9
# Ac8Ir3Se3N

A relaxed structure of Ac8Ir3Se3N (PBE, Alexandria via LeMat-Bulk).

Structure (CIF):
```
data_Ac8Ir3Se3N
_space_group_name_H-M_alt 'R -3 m'
_space_group_IT_number 166
_space_group_name_Hall '-R 3 2"'
_cell_length_a 8.6055
_cell_length_b 8.6055
_cell_length_c 22.7391
_cell_angle_alpha 90.00
_cell_angle_beta 90.00
_cell_angle_gamma 120.00
loop_
_atom_site_label
_atom_site_type_symbol
_atom_site_fract_x
_atom_site_fract_y
_atom_site_fract_z
Ac1 Ac 0.0000 0.0000 0.2415
Ac2 Ac 0.0167 0.5084 0.2359
Ir1 Ir 0.0000 0.5000 0.5000
Se1 Se 0.0000 0.5000 0.0000
N1 N 0.0000 0.0000 0.5000
```

Calculated values
Formation energy without anion corrections = -1.109 eV per atom
Final energy = -94.9 eV per formula unit
Crystal system = trigonal



Record 10
# AcSnIrN

A relaxed structure of AcSnIrN (PBE, Alexandria via LeMat-Bulk).

Structure (CIF):
```
data_AcSnIrN
_space_group_name_H-M_alt 'P 4/n m m'
_space_group_IT_number 129
_cell_length_a 4.2610
_cell_length_b 4.2610
_cell_length_c 9.3363
_cell_angle_alpha 90.00
_cell_angle_beta 90.00
_cell_angle_gamma 90.00
loop_
_space_group_symop_operation_xyz
'x,y,z'
'-x,-y,-z'
'-y+1/2,x,z'
'y+1/2,-x,-z'
'-x+1/2,-y+1/2,z'
'x+1/2,y+1/2,-z'
'y,-x+1/2,z'
'-y,x+1/2,-z'
'x+1/2,-y,-z'
'-x+1/2,y,z'
'-y,-x,-z'
'y,x,z'
'-x,y+1/2,-z'
'x,-y+1/2,z'
'y+1/2,x+1/2,-z'
'-y+1/2,-x+1/2,z'
loop_
_atom_site_label
_atom_site_type_symbol
_atom_site_fract_x
_atom_site_fract_y
_atom_site_fract_z
Ac1 Ac 0.2500 0.2500 0.1480
Sn1 Sn 0.2500 0.2500 0.6594
Ir1 Ir 0.2500 0.7500 0.5000
N1 N 0.2500 0.2500 0.8890
```

Calculated values
Formation energy without anion corrections = -0.551 eV per atom
Final energy = -27.5 eV per formula unit
Crystal system = tetragonal